# VO2 (GGA-PBEsol, optimized geometry)
data_VO2
_symmetry_space_group_name_H-M 'P b c a'
_symmetry_Int_Tables_number 61
_symmetry_space_group_name_Hall '-P 2ac 2ab'
_cell_length_a 5.0466
_cell_length_b 8.9211
_cell_length_c 5.3143
_cell_angle_alpha 90.00
_cell_angle_beta 90.00
_cell_angle_gamma 90.00
loop_
_atom_site_label
_atom_site_type_symbol
_atom_site_fract_x
_atom_site_fract_y
_atom_site_fract_z
V1 V 0.1431 0.1280 0.1047
O1 O 0.0395 0.7303 0.1054
O2 O 0.1875 0.5072 0.3512
# Total magnetic moment = 0.334 μB per atom
# Formation energy (no corrections) = -2.372 eV per atom
# Electronic total energy = -218.00 eV/cell